# 1
AlMoPb2 (GGA-PBE, relaxed); DOS(E_F) = 3.61 states/eV/f.u.; magnetization = 0.93 μB per cell; energy relative to the elements = 0.700 eV per atom; symmetry = No. 65; density = 10.2 g cm⁻³; electronic total energy = -4.798 eV/atom
1.0
3.085 -3.969 0.000
3.085 3.969 0.000
0.000 0.000 3.562
Al Mo Pb
1 1 2
direct
0.000 0.000 0.000
0.500 0.500 0.000
0.000 0.500 0.500
0.500 0.000 0.500

# 2
AlMo2Pb (GGA-PBE, relaxed); DOS(E_F) = 3.38 states/eV/f.u.; magnetization = 0.00 μB per cell; energy relative to the elements = 0.520 eV per atom; symmetry = No. 12; polymorph energy (0 for the lowest one) = 32.3 kJ/mol of atoms; density = 9.9 g cm⁻³; electronic total energy = -6.758 eV/atom
1.0
2.892 -4.475 0.000
2.892 4.475 0.000
-1.025 0.000 2.772
Al Mo Pb
1 2 1
direct
0.000 0.000 0.000
0.000 0.500 0.500
0.500 0.000 0.500
0.500 0.500 0.000

# 3
AlMoPb2 (GGA-PBE, relaxed); DOS(E_F) = 3.47 states/eV/f.u.; magnetization = 0.00 μB per cell; energy relative to the elements = 0.558 eV per atom; symmetry = No. 44; density = 10.2 g cm⁻³; electronic total energy = -4.939 eV/atom
1.0
-1.781 2.548 4.830
1.781 -2.548 4.830
1.781 2.548 -4.830
Al Mo Pb
1 1 2
direct
0.000 0.000 0.000
0.801 0.301 0.500
0.262 0.762 0.500
0.542 0.542 0.000

# 4
AlMo4Pb (GGA-PBE, relaxed); DOS(E_F) = 3.61 states/eV/f.u.; magnetization = 0.00 μB per cell; energy relative to the elements = 0.476 eV per atom; symmetry = No. 216; density = 9.5 g cm⁻³; electronic total energy = -7.987 eV/atom
1.0
0.000 3.778 3.778
3.778 0.000 3.778
3.778 3.778 0.000
Al Mo Pb
1 4 1
direct
0.000 0.000 0.000
0.124 0.625 0.625
0.625 0.124 0.625
0.625 0.625 0.124
0.625 0.625 0.625
0.250 0.250 0.250

# 5
AlMo2Pb (GGA-PBE, relaxed); DOS(E_F) = 3.14 states/eV/f.u.; magnetization = 0.00 μB per cell; energy relative to the elements = 0.400 eV per atom; symmetry = No. 44; polymorph energy (0 for the lowest one) = 20.7 kJ/mol of atoms; density = 9.9 g cm⁻³; electronic total energy = -6.878 eV/atom
1.0
-1.707 2.311 4.513
1.707 -2.311 4.513
1.707 2.311 -4.513
Al Mo Pb
1 2 1
direct
0.000 0.000 0.000
0.241 0.741 0.500
0.465 0.465 0.000
0.729 0.229 0.500

# 6
AlMo2Pb (GGA-PBE, relaxed); DOS(E_F) = 2.96 states/eV/f.u.; magnetization = 0.00 μB per cell; energy relative to the elements = 0.479 eV per atom; symmetry = No. 119; polymorph energy (0 for the lowest one) = 28.2 kJ/mol of atoms; density = 10.1 g cm⁻³; electronic total energy = -6.800 eV/atom
1.0
-2.053 2.053 4.176
2.053 -2.053 4.176
2.053 2.053 -4.176
Al Mo Pb
1 2 1
direct
0.000 0.000 0.000
0.250 0.750 0.500
0.500 0.500 0.000
0.750 0.250 0.500

# 7
Al2MoPb (GGA-PBE, relaxed); DOS(E_F) = 3.24 states/eV/f.u.; magnetization = 0.00 μB per cell; energy relative to the elements = 0.383 eV per atom; symmetry = No. 160; density = 7.4 g cm⁻³; electronic total energy = -5.123 eV/atom
1.0
1.501 0.866 10.293
-1.501 0.866 10.293
0.000 -1.733 10.293
Al Mo Pb
2 1 1
direct
0.000 0.000 0.000
0.259 0.259 0.259
0.736 0.736 0.736
0.487 0.487 0.487

# 8
Al2MoPb (GGA-PBE, relaxed); DOS(E_F) = 2.53 states/eV/f.u.; magnetization = 0.00 μB per cell; energy relative to the elements = 0.319 eV per atom; symmetry = No. 8; density = 7.9 g cm⁻³; electronic total energy = -5.187 eV/atom
1.0
4.950 -1.486 0.000
4.950 1.486 0.000
-0.640 0.000 5.088
Al Mo Pb
2 1 1
direct
0.000 0.000 0.000
0.250 0.250 0.760
0.519 0.519 0.557
0.770 0.770 0.278